# CeS2O6F2 GGA-PBE optimized geometry
# Uncorrected formation energy ... -1762 meV per atom
# Total magnetization ... 2.00 μB per formula unit
# Total DFT energy (no corrections) ... -6.10 eV per atom
data_CeS2O6F2
_chemical_formula_sum 'Ce1 S2 O6 F2'
_cell_length_a 6.0431
_cell_length_b 6.0431
_cell_length_c 5.7118
_cell_angle_alpha 90.00
_cell_angle_beta 90.00
_cell_angle_gamma 120.00
_space_group_name_H-M_alt 'P -3 m 1'
_space_group_IT_number 164
_space_group_name_Hall '-P 3 2"'
loop_
_atom_site_label
_atom_site_fract_x
_atom_site_fract_y
_atom_site_fract_z
Ce1 0.0000 0.0000 0.0000
S1 0.3333 0.6667 0.7110
O1 0.1980 0.3961 0.7850
F1 0.3333 0.6667 0.3998